## LiLaSiPd2 (PBE)

Data for a relaxed structure of LiLaSiPd2.

abc: 5.8170 5.8170 5.8170
angles: 135.59 135.59 64.62
Last column: nearest neighbours and their distance in Å.
Fractional coordinates of all 5 atoms:
Pd 0.2425 0.7425 0.5000  2 Si 2.43, 2 Li 2.54
La 0.0038 0.0038 0.0000  8 Pd 3.22-3.38, 4 Li 3.37, 5 Si 3.38-3.59
Si 0.6384 0.6384 0.0000  4 Pd 2.43, 1 Li 2.61
Li 0.3728 0.3728 0.0000  4 Pd 2.54, 1 Si 2.61
Pd 0.7425 0.2425 0.5000  2 Si 2.43, 2 Li 2.54

Summary:
Space group: I4mm
Uncorrected energy: -5.225 eV per atom